Pm4Al5Ni2 after structural relaxation. Source: Alexandria via LeMat-Bulk, functional GGA-PBE.

It has space group P2/m (No. 10), with a = 7.2481 Å, b = 3.6416 Å, c = 9.3172 Å, α = 90.00°, β = 93.91° and γ = 90.00°. The inequivalent atoms are Pm at (0.1647, 0.0000, 0.3656), Pm at (0.2414, 0.0000, 0.9467), Al at (0.2016, 0.5000, 0.6636), Al at (0.4425, 0.5000, 0.2001), Al at (0.5000, 0.5000, 0.5000) and Ni at (0.0655, 0.5000, 0.1392).

Its theoretical density is 5633 kg/m³. The crystal system is monoclinic. Its uncorrected energy is -4.82 eV per atom. The energy of formation is -344.0 meV/atom.


PmAl4Ni4 after structural relaxation. Source: Alexandria via LeMat-Bulk, functional GGA-PBE.

It has space group I4/m (No. 87), with a = 8.2229 Å, b = 8.2229 Å, c = 4.4012 Å, α = 90.00°, β = 90.00° and γ = 90.00°. The inequivalent atoms are Pm at (0.0000, 0.0000, 0.0000), Al at (0.1041, 0.6188, 0.5000) and Ni at (0.1871, 0.3127, 0.5000).

Its theoretical density is 5443 kg/m³. The crystal system is tetragonal. Its uncorrected energy is -5.15 eV per atom. The energy of formation is -392.3 meV/atom.


PmAl4Ni2 after structural relaxation. Source: Alexandria via LeMat-Bulk, functional GGA-PBE.

It has space group P4_2/mnm (No. 136), with a = 7.5747 Å, b = 7.5747 Å, c = 4.0150 Å, α = 90.00°, β = 90.00° and γ = 90.00°. The inequivalent atoms are Pm at (0.0000, 0.0000, 0.0000), Al at (0.0840, 0.3336, 0.5000) and Ni at (0.2225, 0.7775, 0.5000).

Its theoretical density is 5339 kg/m³. The calculation puts the energy above the most stable polymorph in this dataset at 37 meV/atom. The crystal system is tetragonal. Its uncorrected energy is -4.99 eV per atom. The energy of formation is -519.9 meV/atom.


Pm4Al3Ni after structural relaxation. Source: Alexandria via LeMat-Bulk, functional GGA-PBE.

It has space group Pmm2 (No. 25), with a = 3.8168 Å, b = 4.4878 Å, c = 11.8062 Å, α = 90.00°, β = 90.00° and γ = 90.00°. The inequivalent atoms are Pm at (0.0000, 0.0000, 0.0000), Pm at (0.0000, 0.5000, 0.2752), Pm at (0.5000, 0.0000, 0.4701), Pm at (0.5000, 0.5000, 0.7880), Al at (0.0000, 0.0000, 0.6943), Al at (0.0000, 0.5000, 0.5647), Al at (0.5000, 0.5000, 0.0718) and Ni at (0.5000, 0.0000, 0.1886).

Its theoretical density is 5909 kg/m³. The crystal system is orthorhombic. Its uncorrected energy is -4.83 eV per atom. The energy of formation is -330.5 meV/atom.


PmAl6Ni4 after structural relaxation. Source: Alexandria via LeMat-Bulk, functional GGA-PBE.

It has space group P-6m2 (No. 187), with a = 6.9461 Å, b = 6.9461 Å, c = 3.9533 Å, α = 90.00°, β = 90.00° and γ = 120.00°. The inequivalent atoms are Pm at (0.0000, 0.0000, 0.0000), Al at (0.2011, 0.4022, 0.5000), Al at (0.5332, 0.0664, 0.0000), Ni at (0.3333, 0.6667, 0.0000) and Ni at (0.4187, 0.2093, 0.5000).

Its theoretical density is 5445 kg/m³. The crystal system is hexagonal. Its uncorrected energy is -5.17 eV per atom. The energy of formation is -593.8 meV/atom.


Pm2AlNi3 after structural relaxation. Source: Alexandria via LeMat-Bulk, functional GGA-PBE.

It has space group Fmmm (No. 69), with a = 7.7628 Å, b = 8.4093 Å, c = 14.2128 Å, α = 90.00°, β = 90.00° and γ = 90.00°. The inequivalent atoms are Pm at (0.2415, 0.0000, 0.0000), Pm at (0.2500, 0.2500, 0.2500), Al at (0.0000, 0.0000, 0.3335), Ni at (0.0000, 0.0000, 0.1655) and Ni at (0.0000, 0.2478, 0.4160).

Its theoretical density is 7060 kg/m³. The calculation puts the energy above the most stable polymorph in this dataset at 52 meV/atom. The crystal system is orthorhombic. Its uncorrected energy is -5.46 eV per atom. The energy of formation is -363.6 meV/atom.


Pm12Al5Ni3 after structural relaxation. Source: Alexandria via LeMat-Bulk, functional GGA-PBE.

It has space group Ia-3d (No. 230), with a = 17.2097 Å, b = 17.2097 Å, c = 17.2097 Å, α = 90.00°, β = 90.00° and γ = 90.00°. The inequivalent atoms are Pm at (0.0190, 0.0856, 0.6477), Al at (0.0000, 0.0000, 0.0000), Al at (0.0000, 0.2500, 0.3750) and Ni at (0.0000, 0.2500, 0.1250).

Its theoretical density is 5345 kg/m³. The crystal system is cubic. Its uncorrected energy is -4.29 eV per atom. The energy of formation is 362.9 meV/atom.


Pm3Al5Ni2 after structural relaxation. Source: Alexandria via LeMat-Bulk, functional GGA-PBE.

It has space group P4/mbm (No. 127), with a = 9.8275 Å, b = 9.8275 Å, c = 4.1137 Å, α = 90.00°, β = 90.00° and γ = 90.00°. The inequivalent atoms are Pm at (0.0000, 0.0000, 0.0000), Pm at (0.1764, 0.3236, 0.0000), Al at (0.0000, 0.5000, 0.5000), Al at (0.0645, 0.7656, 0.5000) and Ni at (0.1197, 0.6197, 0.0000).

Its theoretical density is 5745 kg/m³. The crystal system is tetragonal. Its uncorrected energy is -4.99 eV per atom. The energy of formation is -540.5 meV/atom.


Among the records above, which one has the highest energy of formation? Pm12Al5Ni3


Which value of energy of formation does entry 8 give? -540.5 meV/atom


What is the uncorrected energy in the first record? -4.82 eV per atom